This record from the Open Quantum Materials Database describes crystalline LuCoReGe at its relaxed geometry. The functional is PBE.

Summary:
calculated total energy	-6.67	eV per atom

Cell lengths 6.4265, 6.4265, 6.4265 Å; angles 90.00, 90.00, 90.00 degrees
Closest atoms and distances in Å follow each position.
Space group F-43m (No. 216)
Symmetry-distinct sites (fractional):
Lu 0.0000 0.0000 0.0000 (multiplicity 4)  4 Ge 2.78, 4 Re 2.78
Co 0.0000 0.0000 0.5000 (multiplicity 4)  4 Ge 2.78, 4 Re 2.78
Re 0.2500 0.2500 0.7500 (multiplicity 4)  4 Co 2.78, 4 Lu 2.78
Ge 0.2500 0.2500 0.2500 (multiplicity 4)  4 Co 2.78, 4 Lu 2.78


This record from the Open Quantum Materials Database describes crystalline Sb2Pt2O5 at its relaxed geometry. The functional is PBE.

Summary:
calculated total energy	-5.24	eV per atom

Cell lengths 4.0878, 4.0878, 6.8759 Å; angles 90.00, 90.00, 90.00 degrees
Closest atoms and distances in Å follow each position.
Space group P4/mmm (No. 123)
Symmetry-distinct sites (fractional):
Sb 0.0000 0.0000 0.0000 (multiplicity 1)  8 O 2.63
Sb 0.0000 0.0000 0.5000 (multiplicity 1)  12 O 2.71-2.89
Pt 0.5000 0.5000 0.1927 (multiplicity 2)  5 O 2.07-2.11
O 0.0000 0.5000 0.2408 (multiplicity 4)  2 Pt 2.07
O 0.5000 0.5000 0.5000 (multiplicity 1)  2 Pt 2.11


This record from the Open Quantum Materials Database describes crystalline TmTaAs at its relaxed geometry. The functional is PBE.

Summary:
calculated total energy	-6.10	eV per atom

Cell lengths 6.7485, 6.7485, 6.7485 Å; angles 90.00, 90.00, 90.00 degrees
Closest atoms and distances in Å follow each position.
Space group F-43m (No. 216)
Symmetry-distinct sites (fractional):
Tm 0.0000 0.0000 0.0000 (multiplicity 4)  4 Ta 2.92, 4 As 2.92
Ta 0.2500 0.2500 0.2500 (multiplicity 4)  4 Tm 2.92
As 0.2500 0.2500 0.7500 (multiplicity 4)  4 Tm 2.92


This record from the Open Quantum Materials Database describes crystalline Sr4Nb3IrO12 at its relaxed geometry. The functional is PBE.

Summary:
calculated total energy	-7.78	eV per atom

Cell lengths 5.6749, 5.6998, 8.0145 Å; angles 90.21, 90.03, 90.02 degrees
Closest atoms and distances in Å follow each position.
Space group P-1 (No. 2)
Symmetry-distinct sites (fractional):
Sr 0.0032 0.4721 0.2436 (multiplicity 2)  7 O 2.52-2.80
Sr 0.4935 0.9773 0.2445 (multiplicity 2)  7 O 2.51-2.80
Nb 0.0000 0.0000 0.5000 (multiplicity 1)  6 O 2.01-2.04
Nb 0.5000 0.5000 0.0000 (multiplicity 1)  6 O 2.02-2.03
Nb 0.5000 0.5000 0.5000 (multiplicity 1)  6 O 2.03-2.04
Ir 0.0000 0.0000 0.0000 (multiplicity 1)  6 O 2.06-2.07
O 0.0643 0.9918 0.7463 (multiplicity 2)  1 Nb 2.01, 1 Ir 2.07
O 0.2199 0.7200 0.4691 (multiplicity 2)  2 Nb 2.04
O 0.2226 0.7179 0.0338 (multiplicity 2)  1 Nb 2.02, 1 Ir 2.06
O 0.2794 0.2208 0.4698 (multiplicity 2)  2 Nb 2.04
O 0.2834 0.2232 0.0321 (multiplicity 2)  1 Nb 2.02, 1 Ir 2.07
O 0.4427 0.4938 0.7498 (multiplicity 2)  2 Nb 2.03


This record from the Open Quantum Materials Database describes crystalline Ta2Bi3W4N3 at its relaxed geometry. The functional is PBE.

Summary:
calculated total energy	-9.10	eV per atom

Cell lengths 11.2479, 5.9109, 13.8985 Å; angles 90.00, 108.38, 90.00 degrees
Closest atoms and distances in Å follow each position.
Space group C2/c (No. 15)
Symmetry-distinct sites (fractional):
Ta 0.0639 0.1306 0.4310 (multiplicity 8)  3 N 2.08-2.13
Bi 0.0000 0.4382 0.2500 (multiplicity 4)  2 Ta 3.00, 2 W 3.03, 2 Bi 3.34
Bi 0.1619 0.0841 0.7626 (multiplicity 8)  3 W 2.88-2.99, 1 Ta 3.15
W 0.1392 0.4838 0.0491 (multiplicity 8)  1 N 1.96
W 0.2487 0.4643 0.9095 (multiplicity 8)  2 N 2.05-2.10
N 0.0825 0.1733 0.0092 (multiplicity 8)  2 W 1.96-2.05, 2 Ta 2.08
N 0.2500 0.2500 0.5000 (multiplicity 4)  4 W 2.10-2.24, 2 Ta 2.13


This record from the Open Quantum Materials Database describes crystalline Ta2BiAu2 at its relaxed geometry. The functional is PBE.

Summary:
calculated total energy	-6.41	eV per atom

Cell lengths 3.9939, 3.9939, 13.1818 Å; angles 90.00, 90.00, 90.00 degrees
Closest atoms and distances in Å follow each position.
Space group I4/mmm (No. 139)
Symmetry-distinct sites (fractional):
Ta 0.0000 0.0000 0.1031 (multiplicity 4)  1 Ta 2.72, 4 Au 2.78
Bi 0.0000 0.0000 0.5000 (multiplicity 2)  8 Ta 3.13
Au 0.0000 0.5000 0.2500 (multiplicity 4)  4 Ta 2.78, 4 Au 2.82


This record from the Open Quantum Materials Database describes crystalline BaOsNO at its relaxed geometry. The functional is PBE.

Summary:
calculated total energy	-7.29	eV per atom

Cell lengths 4.0185, 5.7194, 6.2084 Å; angles 90.00, 90.00, 90.00 degrees
Closest atoms and distances in Å follow each position.
Space group Pmc2_1 (No. 26)
Symmetry-distinct sites (fractional):
Ba 0.0000 0.2147 0.0000 (multiplicity 2)  1 O 2.60
Os 0.5000 0.3229 0.5110 (multiplicity 2)  2 N 1.85-1.86, 2 O 2.07
N 0.5000 0.4943 0.2579 (multiplicity 2)  2 Os 1.85-1.86
O 0.0000 0.2391 0.5158 (multiplicity 2)  2 Os 2.07


This record from the Open Quantum Materials Database describes crystalline TbTaPO at its relaxed geometry. The functional is PBE.

Summary:
calculated total energy	-8.15	eV per atom

Cell lengths 3.7995, 7.0842, 5.6948 Å; angles 90.00, 90.00, 90.00 degrees
Closest atoms and distances in Å follow each position.
Space group Pmc2_1 (No. 26)
Symmetry-distinct sites (fractional):
Tb 0.0000 0.2160 0.0000 (multiplicity 2)  2 O 2.21
Ta 0.5000 0.4042 0.5030 (multiplicity 2)  2 O 2.09
P 0.0000 0.1772 0.4855 (multiplicity 2)  2 Ta 2.49, 2 Tb 2.78-2.79
O 0.5000 0.3259 0.8570 (multiplicity 2)  2 Ta 2.09, 2 Tb 2.21


This record from the Open Quantum Materials Database describes crystalline ErCuNi at its relaxed geometry. The functional is PBE.

Summary:
calculated total energy	-4.76	eV per atom

Cell lengths 6.0498, 6.0498, 6.0498 Å; angles 90.00, 90.00, 90.00 degrees
Closest atoms and distances in Å follow each position.
Space group F-43m (No. 216)
Symmetry-distinct sites (fractional):
Er 0.0000 0.0000 0.0000 (multiplicity 4)  4 Ni 2.62
Cu 0.0000 0.0000 0.5000 (multiplicity 4)  4 Ni 2.62
Ni 0.2500 0.2500 0.7500 (multiplicity 4)  4 Er 2.62, 4 Cu 2.62


This record from the Open Quantum Materials Database describes crystalline HfMg2Hg at its relaxed geometry. The functional is PBE.

Summary:
calculated total energy	-3.27	eV per atom

Cell lengths 6.9339, 6.9339, 6.9339 Å; angles 90.00, 90.00, 90.00 degrees
Closest atoms and distances in Å follow each position.
Space group F-43m (No. 216)
Symmetry-distinct sites (fractional):
Hf 0.0000 0.0000 0.0000 (multiplicity 4)  4 Hg 3.00, 4 Mg 3.00
Mg 0.0000 0.0000 0.5000 (multiplicity 4)  4 Hg 3.00, 4 Mg 3.00
Mg 0.2500 0.2500 0.2500 (multiplicity 4)  4 Hf 3.00, 4 Mg 3.00
Hg 0.2500 0.2500 0.7500 (multiplicity 4)  4 Hf 3.00, 4 Mg 3.00


This record from the Open Quantum Materials Database describes crystalline Sc2AgIr at its relaxed geometry. The functional is PBE.

Summary:
calculated total energy	-6.40	eV per atom

Cell lengths 6.5718, 6.5718, 6.5718 Å; angles 90.00, 90.00, 90.00 degrees
Closest atoms and distances in Å follow each position.
Space group F-43m (No. 216)
Symmetry-distinct sites (fractional):
Sc 0.0000 0.0000 0.0000 (multiplicity 4)  4 Sc 2.85, 4 Ir 2.85
Sc 0.2500 0.2500 0.2500 (multiplicity 4)  4 Sc 2.85, 4 Ag 2.85
Ag 0.0000 0.0000 0.5000 (multiplicity 4)  4 Sc 2.85, 4 Ir 2.85
Ir 0.2500 0.2500 0.7500 (multiplicity 4)  4 Sc 2.85, 4 Ag 2.85


This record from the Open Quantum Materials Database describes crystalline Dy3Al3Cu2Si at its relaxed geometry. The functional is PBE.

Summary:
calculated total energy	-4.64	eV per atom

Cell lengths 7.2103, 7.2103, 3.8606 Å; angles 90.00, 90.00, 120.00 degrees
Closest atoms and distances in Å follow each position.
Space group P-62m (No. 189)
Symmetry-distinct sites (fractional):
Dy 0.0000 0.3991 0.0000 (multiplicity 3)  1 Si 2.88, 4 Cu 2.93, 6 Al 3.17-3.18
Al 0.0000 0.7479 0.5000 (multiplicity 3)  2 Si 2.65, 2 Cu 2.74
Cu 0.3333 0.6667 0.5000 (multiplicity 2)  3 Al 2.74, 6 Dy 2.93
Si 0.0000 0.0000 0.0000 (multiplicity 1)  6 Al 2.65, 3 Dy 2.88


Please write out number 11 again, unchanged.
This record from the Open Quantum Materials Database describes crystalline Sc2AgIr at its relaxed geometry. The functional is PBE.

Summary:
calculated total energy	-6.40	eV per atom

Cell lengths 6.5718, 6.5718, 6.5718 Å; angles 90.00, 90.00, 90.00 degrees
Closest atoms and distances in Å follow each position.
Space group F-43m (No. 216)
Symmetry-distinct sites (fractional):
Sc 0.0000 0.0000 0.0000 (multiplicity 4)  4 Sc 2.85, 4 Ir 2.85
Sc 0.2500 0.2500 0.2500 (multiplicity 4)  4 Sc 2.85, 4 Ag 2.85
Ag 0.0000 0.0000 0.5000 (multiplicity 4)  4 Sc 2.85, 4 Ir 2.85
Ir 0.2500 0.2500 0.7500 (multiplicity 4)  4 Sc 2.85, 4 Ag 2.85


Copy entry 9 word for word.
This record from the Open Quantum Materials Database describes crystalline ErCuNi at its relaxed geometry. The functional is PBE.

Summary:
calculated total energy	-4.76	eV per atom

Cell lengths 6.0498, 6.0498, 6.0498 Å; angles 90.00, 90.00, 90.00 degrees
Closest atoms and distances in Å follow each position.
Space group F-43m (No. 216)
Symmetry-distinct sites (fractional):
Er 0.0000 0.0000 0.0000 (multiplicity 4)  4 Ni 2.62
Cu 0.0000 0.0000 0.5000 (multiplicity 4)  4 Ni 2.62
Ni 0.2500 0.2500 0.7500 (multiplicity 4)  4 Er 2.62, 4 Cu 2.62


Which of these has the lowest calculated total energy? Ta2Bi3W4N3


Look up the calculated total energy of the third one. -6.10 eV per atom